No. 1
VASP calculation (GGA-PBE) on a relaxed ErLuAu crystal.

E above lowest polymorph, eV per atom: 0.112
Total DFT energy (no corrections), eV/atom: -4.5613
Formation energy, eV/atom: -0.441

a = 4.8519 Å, b = 4.8519 Å, c = 3.7301 Å
α = 90.00°, β = 90.00°, γ = 120.00°
Element x y z (fractional)
1 Er 0.0000 0.0000 0.0000
2 Lu 0.3333 0.6667 0.4780
3 Au 0.6667 0.3333 0.7163

---

No. 2
VASP calculation (GGA-PBE) on a relaxed ErLuAu crystal.

E above lowest polymorph, eV per atom: 0.067
Total DFT energy (no corrections), eV/atom: -4.6060
Formation energy, eV/atom: -0.486

a = 4.8972 Å, b = 4.8972 Å, c = 4.8972 Å
α = 60.00°, β = 60.00°, γ = 60.00°
Element x y z (fractional)
1 Er 0.0000 0.0000 0.0000
2 Lu 0.5000 0.5000 0.5000
3 Au 0.7500 0.7500 0.7500

---

No. 3
VASP calculation (GGA-PBE) on a relaxed ErLuAu crystal.

E above lowest polymorph, eV per atom: 0.000
Total DFT energy (no corrections), eV/atom: -4.6733
Formation energy, eV/atom: -0.553

a = 6.5743 Å, b = 6.5743 Å, c = 6.5743 Å
α = 148.83°, β = 148.83°, γ = 44.66°
Element x y z (fractional)
1 Er 0.0000 0.0000 0.0000
2 Lu 0.7091 0.7091 0.0000
3 Au 0.3495 0.3495 0.0000

---

No. 4
VASP calculation (GGA-PBE) on a relaxed ErLuAu2 crystal.

E above lowest polymorph, eV per atom: 0.000
Total DFT energy (no corrections), eV/atom: -4.7979
Formation energy, eV/atom: -0.888

a = 5.0369 Å, b = 5.0369 Å, c = 3.5189 Å
α = 90.00°, β = 90.00°, γ = 90.00°
Element x y z (fractional)
1 Er 0.0000 0.0000 0.0000
2 Lu 0.5000 0.5000 0.0000
3 Au 0.0000 0.5000 0.5000
4 Au 0.5000 0.0000 0.5000